Compound: Ce2HRu2
Source: Alexandria via LeMat-Bulk
Functional: PBE-GGA
Structure: relaxed

Values from the calculation:
SG: R-3m, No. 166
E (eV/atom): -6.93

abc: 4.155 4.156 6.417
angles: 71.10 71.11 60.01
Last column: magnetic moment on the atom in μB.
Fractional positions:
Ce: 0.607 0.606 0.180  0.16
Ce: 0.393 0.394 0.820  0.16
H: 0.000 0.000 0.000  0.00
Ru: 0.189 0.189 0.434  -0.04
Ru: 0.811 0.811 0.566  -0.04

Compound: CeHRu
Source: Alexandria via LeMat-Bulk
Functional: PBE-GGA
Structure: relaxed

Values from the calculation:
SG: P-6m2, No. 187
E (eV/atom): -6.28

abc: 3.694 3.773 3.773
angles: 120.00 90.00 90.00
Fractional positions:
Ru: 0.167 0.000 0.000
Ce: 0.667 0.333 0.667
H: 0.167 0.667 0.333

Compound: CeH6Ru2
Source: Alexandria via LeMat-Bulk
Functional: PBE-GGA
Structure: relaxed

Values from the calculation:
SG: C2/m, No. 12
E (eV/atom): -5.05

abc: 3.715 4.482 5.981
angles: 73.23 71.91 65.51
Last column: magnetic moment on the atom in μB.
Fractional positions:
Ce: 0.000 0.500 0.500  -0.15
H: 0.707 0.712 0.873  0.00
H: 0.293 0.288 0.127  0.00
H: 0.987 0.878 0.148  0.00
H: 0.286 0.857 0.571  0.00
H: 0.013 0.122 0.852  0.00
H: 0.714 0.143 0.429  0.00
Ru: 0.215 0.705 0.866  0.01
Ru: 0.785 0.295 0.134  0.01

Compound: Ce2H5Ru2
Source: Alexandria via LeMat-Bulk
Functional: PBE-GGA
Structure: relaxed

Values from the calculation:
SG: C2/m, No. 12
E (eV/atom): -5.54

abc: 3.536 6.158 4.900
angles: 99.62 90.00 106.68
Fractional positions:
Ce: 0.395 0.790 0.674
Ce: 0.605 0.210 0.326
H: 0.391 0.781 0.167
H: 0.609 0.219 0.833
H: 0.201 0.402 0.565
H: 0.799 0.598 0.435
H: 0.000 0.000 0.000
Ru: 0.143 0.286 0.875
Ru: 0.857 0.714 0.125